# 1
This record from the Alexandria database describes crystalline HfGa3C at its relaxed geometry. The functional is PBEsol.

## Properties
Fermi-level density of states: 0.705 states/eV per atom
Distance to the lowest polymorph of the same formula: 6.88 eV/f.u.
ΔH_f (0 K): 10.17 eV per formula unit
Space group: Pm-3m, No. 221

abc: 5.1341 5.1341 5.1341
angles: 90.00 90.00 90.00
Element x y z (fractional)
Hf 0.0000 0.0000 0.0000
Ga 0.0000 0.0000 0.5000
Ga 0.0000 0.5000 0.0000
Ga 0.5000 0.0000 0.0000
C 0.5000 0.5000 0.5000

# 2
This record from the Alexandria database describes crystalline HfGa3C at its relaxed geometry. The functional is PBEsol.

## Properties
Fermi-level density of states: 0.558 states/eV per atom
Distance to the lowest polymorph of the same formula: 0.00 eV/f.u.
ΔH_f (0 K): 3.29 eV per formula unit
Space group: Pm-3m, No. 221

abc: 4.2611 4.2611 4.2611
angles: 90.00 90.00 90.00
Element x y z (fractional)
Hf 0.0000 0.0000 0.0000
Ga 0.0000 0.5000 0.5000
Ga 0.5000 0.0000 0.5000
Ga 0.5000 0.5000 0.0000
C 0.5000 0.5000 0.5000

# 3
This record from the Alexandria database describes crystalline HfGaC3 at its relaxed geometry. The functional is PBEsol.

## Properties
Fermi-level density of states: 0.630 states/eV per atom
ΔH_f (0 K): 9.14 eV per formula unit
Space group: Pm-3m, No. 221

abc: 3.8524 3.8524 3.8524
angles: 90.00 90.00 90.00
Element x y z (fractional)
Hf 0.0000 0.0000 0.0000
Ga 0.5000 0.5000 0.5000
C 0.0000 0.5000 0.5000
C 0.5000 0.0000 0.5000
C 0.5000 0.5000 0.0000

# 4
This record from the Alexandria database describes crystalline Hf2GaC at its relaxed geometry. The functional is PBEsol.

## Properties
Fermi-level density of states: 1.216 states/eV per atom
ΔH_f (0 K): 1.88 eV per formula unit
Space group: Fm-3m, No. 225

abc: 4.4108 4.4108 4.4108
angles: 60.00 60.00 60.00
Element x y z (fractional)
Hf 0.2500 0.2500 0.2500
Hf 0.7500 0.7500 0.7500
Ga 0.0000 0.0000 0.0000
C 0.5000 0.5000 0.5000

# 5
This record from the Alexandria database describes crystalline GaHg2C at its relaxed geometry. The functional is PBEsol.

## Properties
Fermi-level density of states: 0.444 states/eV per atom
ΔH_f (0 K): 5.42 eV per formula unit
Space group: Fm-3m, No. 225

abc: 4.6017 4.6017 4.6017
angles: 60.00 60.00 60.00
Element x y z (fractional)
Ga 0.0000 0.0000 0.0000
Hg 0.2500 0.2500 0.2500
Hg 0.7500 0.7500 0.7500
C 0.5000 0.5000 0.5000

# 6
This record from the Alexandria database describes crystalline GaC3I at its relaxed geometry. The functional is PBEsol.

## Properties
Fermi-level density of states: 0.876 states/eV per atom
Uncorrected formation energy: 3.260 eV/atom
Space group: Pm-3m, No. 221

abc: 4.1799 4.1799 4.1799
angles: 90.00 90.00 90.00
Element x y z (fractional)
Ga 0.0000 0.0000 0.0000
C 0.0000 0.5000 0.5000
C 0.5000 0.0000 0.5000
C 0.5000 0.5000 0.0000
I 0.5000 0.5000 0.5000